[1]
Entry from the Alexandria database: NaSrGaRu2 after structural relaxation (GGA-PBE).

## Properties
spin magnetization	2.22	μB per formula unit
crystal system	tetragonal

Cell: 5.175 5.175 4.873 Å, 90.00 90.00 90.00°
Space group P4/mmm (No. 123)
Symmetry-distinct sites (fractional):
Na (0.000, 0.000, 0.000) x1
Sr (0.000, 0.000, 0.500) x1
Ga (0.500, 0.500, 0.000) x1
Ru (0.000, 0.500, 0.500) x2

***

[2]
Entry from the Alexandria database: NaGaTc2Ru after structural relaxation (GGA-PBE).

## Properties
spin magnetization	2.83	μB per formula unit
crystal system	tetragonal

Cell: 4.847 4.847 4.973 Å, 90.00 90.00 90.00°
Space group P4/mmm (No. 123)
Symmetry-distinct sites (fractional):
Na (0.000, 0.000, 0.000) x1
Ga (0.500, 0.500, 0.000) x1
Tc (0.000, 0.500, 0.500) x2
Ru (0.500, 0.500, 0.500) x1

***

[3]
Entry from the Alexandria database: NaZn2GaRu after structural relaxation (GGA-PBE).

## Properties
spin magnetization	0.00	μB per formula unit
crystal system	tetragonal

Cell: 4.842 4.842 5.300 Å, 90.00 90.00 90.00°
Space group P4/mmm (No. 123)
Symmetry-distinct sites (fractional):
Na (0.000, 0.000, 0.000) x1
Zn (0.000, 0.500, 0.500) x2
Ga (0.500, 0.500, 0.000) x1
Ru (0.000, 0.000, 0.500) x1

***

no.,VASP energy (eV per atom)
1,-3.05
2,-5.73
3,-2.58